VASP calculation (PBE) on CaCrBr2 after structural relaxation.

Lattice parameters (Å, degrees): 6.2488 6.2488 8.0656 67.21 67.21 90.00
Closest atoms and distances in Å follow each position.
Positions (direct):
Br: 0.0946 0.6250 0.2500  2 Cr 2.68, 2 Ca 2.89
Br: 0.8750 0.9054 0.7500  2 Cr 2.68, 2 Ca 2.89
Br: 0.6554 0.1250 0.2500  2 Cr 2.68, 2 Ca 2.89
Br: 0.3750 0.3446 0.7500  2 Cr 2.68, 2 Ca 2.89
Ca: 0.5000 0.5000 0.0000  4 Br 2.89
Ca: 0.2500 0.7500 0.5000  4 Br 2.89
Cr: 0.7500 0.2500 0.5000  4 Br 2.68
Cr: 0.0000 0.0000 0.0000  4 Br 2.68

Summary:
offset from the most stable computed form = 147 meV/atom
E_form (uncorrected) = -497 meV per atom
DOS(E_F) = 2.8 states/eV/f.u.
VASP energy = -4.240 eV per atom
total magnetic moment = 9.13 μB/cell